[1]
Density functional theory data (PBE) for an optimized crystal structure of SrCuSnS3.

Summary:
raw formation energy: -0.8705 eV per atom
D(E_F): 4.9 states/eV/f.u.

Unit cell a=3.955 b=8.477 c=8.589 alpha=102.46 beta=90.00 gamma=90.00
Sites, in units of the cell vectors:
Sr  0.250  0.175  0.231
Sr  0.750  0.825  0.769
Cu  0.250  0.074  0.581
Cu  0.750  0.926  0.419
Sn  0.250  0.658  0.158
Sn  0.750  0.342  0.842
S  0.750  0.886  0.139
S  0.250  0.114  0.861
S  0.250  0.794  0.486
S  0.750  0.206  0.514
S  0.750  0.425  0.166
S  0.250  0.575  0.834

[2]
Density functional theory data (PBE) for an optimized crystal structure of Tb3CuSnS7.

Summary:
raw formation energy: -1.4266 eV per atom
D(E_F): 0.0 states/eV/f.u.

Unit cell a=9.794 b=9.794 c=6.266 alpha=90.00 beta=90.00 gamma=120.00
Sites, in units of the cell vectors:
Tb  0.359  0.150  0.275
Tb  0.150  0.790  0.775
Tb  0.790  0.641  0.275
Tb  0.641  0.850  0.775
Tb  0.210  0.359  0.775
Tb  0.850  0.210  0.275
Cu  0.000  0.000  0.665
Cu  0.000  0.000  0.165
Sn  0.667  0.333  0.841
Sn  0.333  0.667  0.341
S  0.563  0.082  0.022
S  0.519  0.437  0.022
S  0.918  0.481  0.022
S  0.481  0.563  0.522
S  0.147  0.261  0.196
S  0.437  0.918  0.522
S  0.261  0.114  0.696
S  0.667  0.333  0.457
S  0.114  0.853  0.196
S  0.082  0.519  0.522
S  0.333  0.667  0.957
S  0.886  0.147  0.696
S  0.853  0.739  0.696
S  0.739  0.886  0.196

[3]
Density functional theory data (PBE) for an optimized crystal structure of CuSnTeS.

Summary:
raw formation energy: -0.1331 eV per atom
D(E_F): 2.2 states/eV/f.u.

Unit cell a=4.590 b=4.590 c=6.971 alpha=88.68 beta=106.53 gamma=127.07
Sites, in units of the cell vectors:
Cu  0.210  0.988  0.198
Sn  0.205  0.464  0.669
Te  0.465  0.640  0.106
S  0.449  0.109  0.558

[4]
Density functional theory data (PBE) for an optimized crystal structure of CuSn2TeS3.

Summary:
raw formation energy: -0.2848 eV per atom
D(E_F): 0.3 states/eV/f.u.

Unit cell a=8.233 b=8.233 c=8.233 alpha=55.60 beta=55.60 gamma=55.60
Sites, in units of the cell vectors:
Cu  0.434  0.434  0.434
Cu  0.566  0.566  0.566
Sn  0.000  0.000  0.000
Sn  0.500  0.000  0.000
Sn  0.000  0.500  0.000
Sn  0.000  0.000  0.500
Te  0.742  0.742  0.742
Te  0.258  0.258  0.258
S  0.228  0.741  0.741
S  0.741  0.228  0.741
S  0.741  0.741  0.228
S  0.772  0.259  0.259
S  0.259  0.772  0.259
S  0.259  0.259  0.772